Record 1
The following is a DFT calculation (PBE) of a relaxed KErPbF6 crystal.

Properties
- VASP energy: -5.557 eV/atom
- N(E_F): 0.0 states/eV/cell
- Size of the total moment: 0.00 μB per formula unit

Cell and atoms, written as CIF:
```
data_KErPbF6
_chemical_formula_sum 'K1 Er1 Pb1 F6'
_cell_length_a 6.4994
_cell_length_b 6.4994
_cell_length_c 3.5923
_cell_angle_alpha 90.00
_cell_angle_beta 90.00
_cell_angle_gamma 120.00
_space_group_name_H-M_alt 'P 3'
_space_group_IT_number 143
loop_
_space_group_symop_operation_xyz
'x,y,z'
'-y,x-y,z'
'-x+y,-x,z'
loop_
_atom_site_label
_atom_site_fract_x
_atom_site_fract_y
_atom_site_fract_z
K1 0.0000 0.0000 0.0000
Er1 0.6667 0.3333 0.5022
Pb1 0.3333 0.6667 0.0032
F1 0.0426 0.6772 0.5021
F2 0.4337 0.1074 0.0022
```

Record 2
The following is a DFT calculation (PBE) of a relaxed MgVPt2Cl crystal.

Properties
- VASP energy: -4.833 eV/atom
- N(E_F): 3.9 states/eV/cell
- Size of the total moment: 0.00 μB per formula unit
- Offset from the most stable computed form: 0 meV/atom

Cell and atoms, written as CIF:
```
data_MgVPt2Cl
_chemical_formula_sum 'Mg1 V1 Pt2 Cl1'
_cell_length_a 4.791
_cell_length_b 4.791
_cell_length_c 4.424
_cell_angle_alpha 90.00
_cell_angle_beta 90.00
_cell_angle_gamma 90.00
_space_group_name_H-M_alt 'P 4/m m m'
_space_group_IT_number 123
_space_group_name_Hall '-P 4 2'
loop_
_atom_site_label
_atom_site_fract_x
_atom_site_fract_y
_atom_site_fract_z
Mg1 0.000 0.000 0.000
V1 0.500 0.500 0.500
Pt1 0.000 0.500 0.500
Cl1 0.500 0.500 0.000
```

Record 3
The following is a DFT calculation (PBE) of a relaxed Ca2Cu2Si3 crystal.

Properties
- VASP energy: -4.467 eV/atom
- N(E_F): 10.8 states/eV/cell
- Size of the total moment: 0.00 μB per formula unit

Cell and atoms, written as CIF:
```
data_Ca2Cu2Si3
_chemical_formula_sum 'Ca8 Cu8 Si12'
_cell_length_a 4.271
_cell_length_b 17.820
_cell_length_c 6.662
_cell_angle_alpha 90.00
_cell_angle_beta 90.00
_cell_angle_gamma 90.00
_space_group_name_H-M_alt 'C m c m'
_space_group_IT_number 63
_space_group_name_Hall '-C 2c 2'
loop_
_atom_site_label
_atom_site_fract_x
_atom_site_fract_y
_atom_site_fract_z
Ca1 0.000 0.056 0.250
Ca2 0.000 0.159 0.750
Cu1 0.000 0.312 0.561
Si1 0.000 0.225 0.250
Si2 0.000 0.440 0.074
```

no.,formation energy (no corrections) (meV per atom)
1,-3269
2,95
3,-401